Entry 1:
MgHg: optimized geometry, PBE-GGA.

Properties
- E_tot (eV/atom) = -1.03
- crystal system = orthorhombic

a b c (Å): 5.1692 12.2272 5.4806
angles (deg): 90.00 90.00 90.00
With the nearest neighbours (Å) after each atom.
Space group Pmmn (No. 59, origin choice 2)
Asymmetric unit:
Mg (0.2500, 0.1143, 0.1671) x4  7 Hg 3.00-3.17, 5 Mg 3.20-3.32
Mg (0.2500, 0.2500, 0.6657) x2  6 Hg 3.06-3.11, 6 Mg 3.18-3.21
Mg (0.2500, 0.7500, 0.6718) x2  6 Hg 3.05-3.14, 6 Mg 3.18-3.20
Hg (0.2500, 0.9997, 0.6755) x4  6 Mg 3.04-3.12, 6 Hg 3.12-3.22
Hg (0.2500, 0.6309, 0.1646) x4  5 Hg 2.91-3.22, 7 Mg 3.00-3.17

=====

Entry 2:
MgHg2: optimized geometry, PBE-GGA.

Properties
- E_tot (eV/atom) = -0.83
- crystal system = tetragonal

a b c (Å): 3.8551 3.8551 8.8413
angles (deg): 90.00 90.00 90.00
With the nearest neighbours (Å) after each atom.
Space group I4/mmm (No. 139)
Asymmetric unit:
Mg (0.0000, 0.0000, 0.0000) x2  10 Hg 2.95-3.10
Hg (0.0000, 0.0000, 0.3332) x4  5 Mg 2.95-3.10, 5 Hg 2.95-3.10

=====

Entry 3:
Mg5Hg: optimized geometry, PBE-GGA.

Properties
- E_tot (eV/atom) = -1.42
- crystal system = hexagonal

a b c (Å): 5.4227 5.4227 5.0704
angles (deg): 90.00 90.00 120.00
With the nearest neighbours (Å) after each atom.
Space group P-62m (No. 189)
Asymmetric unit:
Mg (0.0000, 0.3281, 0.0000) x3  10 Mg 3.08-3.16, 2 Hg 3.10
Mg (0.3333, 0.6667, 0.5000) x2  9 Mg 3.12-3.13, 3 Hg 3.13
Hg (0.0000, 0.0000, 0.5000) x1  12 Mg 3.10-3.13

=====

Entry 4:
Mg3Hg2: optimized geometry, PBE-GGA.

Properties
- E above lowest polymorph (eV per atom) = 0.000
- E_tot (eV/atom) = -1.24
- crystal system = tetragonal

a b c (Å): 10.8868 10.8868 14.8748
angles (deg): 90.00 90.00 90.00
With the nearest neighbours (Å) after each atom.
Space group I4/mcm (No. 140)
Asymmetric unit:
Mg (0.0000, 0.5000, 0.1390) x8  4 Hg 2.73-2.88
Mg (0.0661, 0.2057, 0.1391) x32  6 Hg 2.82-3.13
Mg (0.1701, 0.3299, 0.5000) x8  3 Hg 2.90-3.07
Hg (0.0000, 0.0000, 0.0000) x4  8 Mg 3.13
Hg (0.0000, 0.0000, 0.2500) x4  8 Mg 2.87
Hg (0.1304, 0.3696, 0.0000) x8  7 Mg 2.82-3.07
Hg (0.1689, 0.3311, 0.3051) x16  8 Mg 2.73-3.03, 1 Hg 2.99

=====

Entry 5:
MgHg: optimized geometry, PBE-GGA.

Properties
- E_tot (eV/atom) = -1.08
- crystal system = orthorhombic

a b c (Å): 5.5316 5.0535 5.9540
angles (deg): 90.00 90.00 90.00
With the nearest neighbours (Å) after each atom.
Space group Pnma (No. 62)
Asymmetric unit:
Mg (0.1120, 0.2500, 0.1221) x4  8 Hg 2.95-3.21, 4 Mg 3.16-3.17
Hg (0.1128, 0.2500, 0.6177) x4  8 Mg 2.95-3.21, 4 Hg 3.15-3.18

=====

Entry 6:
MgHg: optimized geometry, PBE-GGA.

Properties
- E_tot (eV/atom) = -1.04
- crystal system = orthorhombic

a b c (Å): 5.0719 6.2329 10.9529
angles (deg): 90.00 90.00 90.00
With the nearest neighbours (Å) after each atom.
Space group Pmmn (No. 59, origin choice 2)
Asymmetric unit:
Mg (0.2500, 0.0082, 0.0830) x4  4 Hg 2.95-3.02, 8 Mg 3.01-3.25
Mg (0.2500, 0.2500, 0.3398) x2  10 Hg 3.07-3.33, 2 Mg 3.19
Mg (0.2500, 0.2500, 0.8199) x2  6 Hg 2.90-3.14, 4 Mg 3.19
Hg (0.2500, 0.5058, 0.5836) x4  4 Mg 3.04-3.11, 8 Hg 3.04-3.38
Hg (0.2500, 0.7500, 0.3082) x2  6 Mg 2.90-3.14, 4 Hg 3.22
Hg (0.2500, 0.7500, 0.8569) x2  8 Mg 2.95-3.14

=====

Entry 7:
Mg3Hg2Mo2: optimized geometry, PBE-GGA.

Properties
- E_tot (eV/atom) = -3.65
- crystal system = trigonal

a b c (Å): 4.5647 4.5647 23.2246
angles (deg): 90.00 90.00 120.00
With the nearest neighbours (Å) after each atom.
Space group R3m (No. 160, hexagonal axes)
Asymmetric unit:
Mg (0.0000, 0.0000, 0.0000) x3  4 Hg 2.84-2.85, 6 Mo 2.85-3.13
Mg (0.0000, 0.0000, 0.2445) x3  4 Hg 2.82, 1 Mo 3.14
Mg (0.0000, 0.0000, 0.5007) x3  4 Hg 2.79-2.83, 1 Mo 2.81
Hg (0.0000, 0.0000, 0.1229) x3  5 Mg 2.82-2.85, 3 Mo 2.88
Hg (0.0000, 0.0000, 0.6207) x3  1 Mo 2.76, 7 Mg 2.79-2.84
Mo (0.0000, 0.0000, 0.3798) x3  3 Mo 2.71, 4 Mg 2.81-2.85
Mo (0.0000, 0.0000, 0.7397) x3  3 Mo 2.71, 4 Hg 2.76-2.88

=====

Entry 8:
MgHgMoOs: optimized geometry, PBE-GGA.

Properties
- E above lowest polymorph (eV per atom) = 0.000
- E_tot (eV/atom) = -5.61
- crystal system = cubic

a b c (Å): 6.4168 6.4168 6.4168
angles (deg): 90.00 90.00 90.00
With the nearest neighbours (Å) after each atom.
Space group F-43m (No. 216)
Asymmetric unit:
Mg (0.0000, 0.0000, 0.0000) x4  4 Hg 2.78, 4 Mo 2.78
Hg (0.2500, 0.2500, 0.7500) x4  4 Os 2.78, 4 Mg 2.78
Mo (0.2500, 0.2500, 0.2500) x4  4 Mg 2.78, 4 Os 2.78
Os (0.0000, 0.0000, 0.5000) x4  4 Mo 2.78, 4 Hg 2.78

=====

Entry 9:
MgHgNO: optimized geometry, PBE-GGA.

Properties
- E above lowest polymorph (eV per atom) = 0.035
- E_tot (eV/atom) = -4.12
- crystal system = tetragonal

a b c (Å): 4.3697 4.3697 5.3974
angles (deg): 90.00 90.00 90.00
With the nearest neighbours (Å) after each atom.
Space group P4/nmm (No. 129, origin choice 2)
Asymmetric unit:
Mg (0.2500, 0.2500, 0.0351) x2  1 N 2.19, 4 O 2.19
Hg (0.2500, 0.7500, 0.5000) x2  4 N 2.21
N (0.2500, 0.2500, 0.4413) x2  1 Mg 2.19, 4 Hg 2.21
O (0.2500, 0.7500, 0.0000) x2  4 Mg 2.19

=====

Entry 10:
MgHgNO: optimized geometry, PBE-GGA.

Properties
- E above lowest polymorph (eV per atom) = 0.071
- E_tot (eV/atom) = -4.08
- crystal system = orthorhombic

a b c (Å): 3.3179 6.2199 5.7535
angles (deg): 90.00 90.00 90.00
With the nearest neighbours (Å) after each atom.
Space group Pmc2_1 (No. 26)
Asymmetric unit:
Mg (0.0000, 0.1780, 0.0000) x2  2 O 1.95, 2 N 2.07-2.10
Hg (0.5000, 0.3213, 0.4829) x2  2 N 2.16, 1 O 2.26
N (0.0000, 0.1293, 0.3611) x2  2 Mg 2.07-2.10, 2 Hg 2.16
O (0.5000, 0.3221, 0.9113) x2  2 Mg 1.95

=====

Entry 11:
MgHgNO: optimized geometry, PBE-GGA.

Properties
- E above lowest polymorph (eV per atom) = 0.000
- E_tot (eV/atom) = -4.16
- crystal system = orthorhombic

a b c (Å): 5.9850 7.0941 5.4724
angles (deg): 90.00 90.00 90.00
With the nearest neighbours (Å) after each atom.
Space group Pca2_1 (No. 29)
Asymmetric unit:
Mg (0.0962, 0.1022, 0.0000) x4  3 O 1.97, 1 N 2.10
Hg (0.0773, 0.6287, 0.0092) x4  3 N 2.21-2.22, 1 O 2.37
N (0.0641, 0.6483, 0.6070) x4  1 Mg 2.10, 3 Hg 2.21-2.22
O (0.1017, 0.0911, 0.6406) x4  3 Mg 1.97

=====

Entry 12:
MgHgNO: optimized geometry, PBE-GGA.

Properties
- E above lowest polymorph (eV per atom) = 0.118
- E_tot (eV/atom) = -4.04
- crystal system = orthorhombic

a b c (Å): 3.5403 5.9719 5.6441
angles (deg): 90.00 90.00 90.00
With the nearest neighbours (Å) after each atom.
Space group Pmc2_1 (No. 26)
Asymmetric unit:
Mg (0.0000, 0.1555, 0.0000) x2  2 O 1.96-1.97, 2 N 2.07
Hg (0.5000, 0.3462, 0.5145) x2  2 N 2.16-2.18, 2 O 2.35
N (0.5000, 0.3065, 0.8945) x2  2 Mg 2.07, 2 Hg 2.16-2.18
O (0.0000, 0.1401, 0.3479) x2  2 Mg 1.96-1.97

=====

Entry 13:
MgHgNO: optimized geometry, PBE-GGA.

Properties
- E above lowest polymorph (eV per atom) = 0.342
- E_tot (eV/atom) = -3.81
- crystal system = tetragonal

a b c (Å): 4.0963 4.0963 7.4449
angles (deg): 90.00 90.00 90.00
With the nearest neighbours (Å) after each atom.
Space group P4/nmm (No. 129, origin choice 2)
Asymmetric unit:
Mg (0.2500, 0.7500, 0.0000) x2  4 N 2.10
Hg (0.2500, 0.2500, 0.3560) x2  1 N 2.19, 4 O 2.31
N (0.2500, 0.2500, 0.0617) x2  4 Mg 2.10, 1 Hg 2.19
O (0.2500, 0.7500, 0.5000) x2  4 Hg 2.31

=====

Entry 14:
MgHgNO: optimized geometry, PBE-GGA.

Properties
- E above lowest polymorph (eV per atom) = 0.187
- E_tot (eV/atom) = -3.97
- crystal system = orthorhombic

a b c (Å): 6.0441 7.6608 4.9631
angles (deg): 90.00 90.00 90.00
With the nearest neighbours (Å) after each atom.
Space group Pca2_1 (No. 29)
Asymmetric unit:
Mg (0.0850, 0.1205, 0.0000) x4  1 O 1.98, 3 N 2.01-2.20
Hg (0.0186, 0.6391, 0.0264) x4  1 N 2.07, 1 O 2.14
N (0.0813, 0.1033, 0.5583) x4  3 Mg 2.01-2.20, 1 Hg 2.07
O (0.0268, 0.6380, 0.5366) x4  1 Mg 1.98, 1 Hg 2.14

=====

Entry 15:
NaMgHg: optimized geometry, PBE-GGA.

Properties
- E above lowest polymorph (eV per atom) = 0.000
- E_tot (eV/atom) = -1.11
- crystal system = cubic

a b c (Å): 6.9550 6.9550 6.9550
angles (deg): 90.00 90.00 90.00
With the nearest neighbours (Å) after each atom.
Space group F-43m (No. 216)
Asymmetric unit:
Na (0.0000, 0.0000, 0.0000) x4  4 Hg 3.01
Mg (0.0000, 0.0000, 0.5000) x4  4 Hg 3.01
Hg (0.2500, 0.2500, 0.7500) x4  4 Na 3.01, 4 Mg 3.01

=====

Entry 16:
NaMg6Hg: optimized geometry, PBE-GGA.

Properties
- E_tot (eV/atom) = -1.36
- crystal system = hexagonal

a b c (Å): 6.4525 6.4525 5.1191
angles (deg): 90.00 90.00 120.00
With the nearest neighbours (Å) after each atom.
Space group P-6m2 (No. 187)
Asymmetric unit:
Na (0.0000, 0.0000, 0.0000) x1  12 Mg 3.18-3.23
Mg (0.0017, 0.5009, 0.0000) x3  8 Mg 3.16-3.24, 2 Hg 3.17, 2 Na 3.23
Mg (0.1684, 0.3368, 0.5000) x3  8 Mg 3.16-3.26, 2 Na 3.18, 2 Hg 3.23
Hg (0.6667, 0.3333, 0.5000) x1  12 Mg 3.17-3.23

=====

Entry 17:
NaMgTlHg: optimized geometry, PBE-GGA.

Properties
- E above lowest polymorph (eV per atom) = 0.083
- E_tot (eV/atom) = -1.44
- crystal system = cubic

a b c (Å): 7.4074 7.4074 7.4074
angles (deg): 90.00 90.00 90.00
With the nearest neighbours (Å) after each atom.
Space group F-43m (No. 216)
Asymmetric unit:
Na (0.0000, 0.0000, 0.0000) x4  4 Hg 3.21, 4 Mg 3.21
Mg (0.2500, 0.2500, 0.2500) x4  4 Tl 3.21, 4 Na 3.21
Tl (0.0000, 0.0000, 0.5000) x4  4 Mg 3.21, 4 Hg 3.21
Hg (0.2500, 0.2500, 0.7500) x4  4 Tl 3.21, 4 Na 3.21

=====

Entry 18:
Na4MgTl2Hg: optimized geometry, PBE-GGA.

Properties
- E_tot (eV/atom) = -1.60
- crystal system = tetragonal

a b c (Å): 5.2466 5.2466 7.4541
angles (deg): 90.00 90.00 90.00
With the nearest neighbours (Å) after each atom.
Space group P-4m2 (No. 115)
Asymmetric unit:
Na (0.0000, 0.0000, 0.0000) x1  4 Na 3.16, 4 Tl 3.26
Na (0.0000, 0.5000, 0.2354) x2  2 Hg 3.16, 4 Na 3.16-3.28, 2 Mg 3.28
Na (0.5000, 0.5000, 0.5000) x1  4 Tl 3.18, 4 Na 3.28
Mg (0.0000, 0.0000, 0.5000) x1  4 Tl 3.18, 4 Na 3.28
Tl (0.0000, 0.5000, 0.7403) x2  4 Na 3.18-3.26, 2 Mg 3.18, 2 Hg 3.26
Hg (0.5000, 0.5000, 0.0000) x1  4 Na 3.16, 4 Tl 3.26

=====

Entry 19:
NaMgTlHg: optimized geometry, PBE-GGA.

Properties
- E above lowest polymorph (eV per atom) = 0.000
- E_tot (eV/atom) = -1.52
- crystal system = cubic

a b c (Å): 7.3193 7.3193 7.3193
angles (deg): 90.00 90.00 90.00
With the nearest neighbours (Å) after each atom.
Space group F-43m (No. 216)
Asymmetric unit:
Na (0.0000, 0.0000, 0.0000) x4  4 Hg 3.17, 4 Tl 3.17
Mg (0.0000, 0.0000, 0.5000) x4  4 Hg 3.17, 4 Tl 3.17
Tl (0.2500, 0.2500, 0.2500) x4  4 Mg 3.17, 4 Na 3.17
Hg (0.2500, 0.2500, 0.7500) x4  4 Na 3.17, 4 Mg 3.17

=====

Entry 20:
MgNbHg: optimized geometry, PBE-GGA.

Properties
- E_tot (eV/atom) = -3.39
- crystal system = cubic

a b c (Å): 6.4695 6.4695 6.4695
angles (deg): 90.00 90.00 90.00
With the nearest neighbours (Å) after each atom.
Space group F-43m (No. 216)
Asymmetric unit:
Mg (0.0000, 0.0000, 0.0000) x4  4 Hg 2.80
Nb (0.0000, 0.0000, 0.5000) x4  4 Hg 2.80
Hg (0.2500, 0.2500, 0.2500) x4  4 Nb 2.80, 4 Mg 2.80